# 1
Material: Pm10NdSm4
Method: DFT, GGA-PBE
State: relaxed

The space group is I4/m (No. 87) and the conventional cell measures 9.880, 9.880 and 10.695 Å, with angles of 90.00, 90.00 and 90.00 degrees. The asymmetric unit holds Pm at (0.000, 0.500, 0.250), Pm at (0.116, 0.791, 0.158), Nd at (0.000, 0.000, 0.500) and Sm at (0.059, 0.669, 0.500).

For the formation energy, the calculation gives 4.5 eV per formula unit. The spin magnetization is 0.00 μB/atom. The calculation puts the density of states at the Fermi level at 40.219 states/eV per cell.

***

# 2
Material: PmNd6Sm8
Method: DFT, GGA-PBE
State: relaxed

The space group is R-3 (No. 148, hexagonal axes) and the conventional cell measures 9.4131, 9.4131 and 20.4443 Å, with angles of 90.00, 90.00 and 120.00 degrees. The asymmetric unit holds Pm at (0.0000, 0.0000, 0.0000), Nd at (0.0464, 0.7998, 0.6922), Sm at (0.0000, 0.0000, 0.4288) and Sm at (0.0678, 0.8219, 0.1616).

For the formation energy, the calculation gives 2.2 eV per formula unit. The offset from the most stable computed form is 0 meV per atom. The spin magnetization is 0.00 μB/atom. The calculation puts the density of states at the Fermi level at 65.040 states/eV per cell.

***

# 3
Material: Pm7Nd4Sm
Method: DFT, GGA-PBE
State: relaxed

The space group is C2/m (No. 12) and the conventional cell measures 12.215, 6.095 and 12.997 Å, with angles of 90.00, 117.89 and 90.00 degrees. The asymmetric unit holds Pm at (0.000, 0.000, 0.000), Pm at (0.131, 0.500, 0.501), Pm at (0.211, 0.000, 0.922), Pm at (0.243, 0.000, 0.679), Nd at (0.062, 0.000, 0.325), Nd at (0.138, 0.500, 0.777) and Sm at (0.000, 0.500, 0.000).

For the formation energy, the calculation gives 2.8 eV per formula unit. The offset from the most stable computed form is 221 meV per atom. The spin magnetization is 0.00 μB/atom. The calculation puts the density of states at the Fermi level at 38.046 states/eV per cell.

***

# 4
Material: Pm8NdSm2
Method: DFT, GGA-PBE
State: relaxed

The space group is C2/m (No. 12) and the conventional cell measures 18.585, 5.159 and 8.166 Å, with angles of 90.00, 105.30 and 90.00 degrees. The asymmetric unit holds Pm at (0.046, 0.000, 0.227), Pm at (0.091, 0.500, 0.955), Pm at (0.137, 0.000, 0.683), Pm at (0.182, 0.500, 0.409), Nd at (0.000, 0.500, 0.500) and Sm at (0.227, 0.000, 0.136).

For the formation energy, the calculation gives 0.1 eV per formula unit. The offset from the most stable computed form is 0 meV per atom. The spin magnetization is 0.00 μB/atom. The calculation puts the density of states at the Fermi level at 33.857 states/eV per cell.

***

# 5
Material: Pm2NdSm2
Method: DFT, GGA-PBE
State: relaxed

The space group is C2/c (No. 15) and the conventional cell measures 10.021, 7.571 and 10.048 Å, with angles of 90.00, 113.81 and 90.00 degrees. The asymmetric unit holds Pm at (0.246, 0.043, 0.499), Nd at (0.000, 0.252, 0.750) and Sm at (0.098, 0.256, 0.152).

For the formation energy, the calculation gives 0.9 eV per formula unit. The offset from the most stable computed form is 85 meV per atom. The spin magnetization is 0.00 μB/atom. The calculation puts the density of states at the Fermi level at 39.565 states/eV per cell.

***

# 6
Material: Pm8Nd2Sm3
Method: DFT, GGA-PBE
State: relaxed

The space group is C2/m (No. 12) and the conventional cell measures 13.310, 11.870 and 6.246 Å, with angles of 90.00, 113.97 and 90.00 degrees. The asymmetric unit holds Pm at (0.052, 0.000, 0.279), Pm at (0.154, 0.500, 0.554), Pm at (0.171, 0.243, 0.172), Nd at (0.214, 0.000, 0.844), Sm at (0.000, 0.257, 0.500) and Sm at (0.000, 0.500, 0.000).

For the formation energy, the calculation gives 2.0 eV per formula unit. The offset from the most stable computed form is 0 meV per atom. The spin magnetization is 0.00 μB/atom. The calculation puts the density of states at the Fermi level at 42.250 states/eV per cell.